Sm15Tm4Tl | PBE-GGA | relaxed

Cell: 5.0440 5.0440 25.4514 Å, 90.00 90.00 90.00°
Space group P4/mmm (No. 123)
Unique sites:
Sm  0.0000  0.0000  0.0000 (multiplicity 1)
Sm  0.0000  0.0000  0.1975 (multiplicity 2)
Sm  0.0000  0.0000  0.3990 (multiplicity 2)
Sm  0.0000  0.5000  0.0979 (multiplicity 4)
Sm  0.0000  0.5000  0.2988 (multiplicity 4)
Sm  0.0000  0.5000  0.5000 (multiplicity 2)
Tm  0.5000  0.5000  0.1985 (multiplicity 2)
Tm  0.5000  0.5000  0.3996 (multiplicity 2)
Tl  0.5000  0.5000  0.0000 (multiplicity 1)

Results
M_tot   0.00 μB/f.u.
N(E_F)   27.25 states/eV per cell
Energy   -4.573 eV per atom
Energy relative to the elements   -0.021 eV per atom